Entry 1:
Compound: GaGeSCl2
Source: the Alexandria database
Functional: GGA-PBE
Structure: relaxed

abc: 5.1584 5.1584 4.6694
angles: 90.00 90.00 90.00
Fractional coordinates of all 5 atoms:
Ga: 0.0000 0.0000 0.0000
Ge: 0.5000 0.5000 0.5000
S: 0.5000 0.5000 0.0000
Cl: 0.0000 0.5000 0.5000
Cl: 0.5000 0.0000 0.5000

Output
E_form (uncorrected): -0.339 eV per atom
Energy: -17.160 eV/f.u.
SG: No. 123

---

Entry 2:
Compound: GaGeS2Cl
Source: the Alexandria database
Functional: GGA-PBE
Structure: relaxed

abc: 4.7207 4.7207 5.1742
angles: 90.00 90.00 90.00
Fractional coordinates of all 5 atoms:
Ga: 0.0000 0.0000 0.0000
Ge: 0.5000 0.5000 0.5000
S: 0.0000 0.5000 0.5000
S: 0.5000 0.0000 0.5000
Cl: 0.5000 0.5000 0.0000

Output
E_form (uncorrected): -0.059 eV per atom
Energy: -18.039 eV/f.u.
SG: No. 123

---

Entry 3:
Compound: Ga2GeSeCl
Source: the Alexandria database
Functional: GGA-PBE
Structure: relaxed

abc: 5.1020 5.1020 4.6876
angles: 90.00 90.00 90.00
Fractional coordinates of all 5 atoms:
Ga: 0.0000 0.5000 0.0000
Ga: 0.5000 0.0000 0.0000
Ge: 0.0000 0.0000 0.0000
Se: 0.5000 0.5000 0.5000
Cl: 0.0000 0.0000 0.5000

Output
E_form (uncorrected): 0.052 eV per atom
Energy: -15.740 eV/f.u.
SG: No. 123

---

Entry 4:
Compound: Sm4GaGeCl2
Source: the Alexandria database
Functional: GGA-PBE
Structure: relaxed

abc: 7.1569 4.2271 7.4068
angles: 90.00 110.19 90.00
Fractional coordinates of all 8 atoms:
Sm: 0.2310 0.0000 0.2453
Sm: 0.2339 0.5000 0.7465
Sm: 0.7661 0.5000 0.2535
Sm: 0.7690 0.0000 0.7547
Ga: 0.0000 0.0000 0.5000
Ge: 0.0000 0.5000 0.0000
Cl: 0.5000 0.0000 0.0000
Cl: 0.5000 0.5000 0.5000

Output
E_form (uncorrected): -1.113 eV per atom
Energy: -39.115 eV/f.u.
SG: No. 10

---

Entry 5:
Compound: Ga2GeTeCl
Source: the Alexandria database
Functional: GGA-PBE
Structure: relaxed

abc: 6.1897 6.1897 5.2580
angles: 90.00 90.00 90.00
Fractional coordinates of all 5 atoms:
Ga: 0.0000 0.5000 0.0000
Ga: 0.5000 0.0000 0.0000
Ge: 0.0000 0.0000 0.5000
Te: 0.0000 0.0000 0.0000
Cl: 0.5000 0.5000 0.5000

Output
E_form (uncorrected): 0.368 eV per atom
Energy: -13.819 eV/f.u.
SG: No. 123

---

Entry 6:
Compound: GaGeTeCl2
Source: the Alexandria database
Functional: GGA-PBE
Structure: relaxed

abc: 5.2422 5.2422 5.9252
angles: 90.00 90.00 90.00
Fractional coordinates of all 5 atoms:
Ga: 0.0000 0.0000 0.0000
Ge: 0.5000 0.5000 0.0000
Te: 0.0000 0.0000 0.5000
Cl: 0.0000 0.5000 0.5000
Cl: 0.5000 0.0000 0.5000

Output
E_form (uncorrected): 0.398 eV per atom
Energy: -12.490 eV/f.u.
SG: No. 123

---

Entry 7:
Compound: TlGa2GeCl8
Source: the Alexandria database
Functional: GGA-PBE
Structure: relaxed

abc: 7.4464 7.4464 8.5792
angles: 90.00 90.00 120.00
Fractional coordinates of all 12 atoms:
Tl: 0.0000 0.0000 0.0000
Ga: 0.3333 0.6667 0.7848
Ga: 0.6667 0.3333 0.2152
Ge: 0.0000 0.0000 0.5000
Cl: 0.1609 0.8284 0.6938
Cl: 0.1716 0.3326 0.6938
Cl: 0.3326 0.1609 0.3062
Cl: 0.3333 0.6667 0.0410
Cl: 0.6667 0.3333 0.9590
Cl: 0.6674 0.8391 0.6938
Cl: 0.8284 0.6674 0.3062
Cl: 0.8391 0.1716 0.3062

Output
E_form (uncorrected): -0.913 eV per atom
Energy: -38.762 eV/f.u.
SG: No. 147

---

Entry 8:
Compound: TlGaGe2Cl8
Source: the Alexandria database
Functional: GGA-PBE
Structure: relaxed

abc: 6.0165 7.7782 8.5731
angles: 99.13 100.59 96.29
Fractional coordinates of all 12 atoms:
Tl: 0.0000 0.0000 0.0000
Ga: 0.0000 0.0000 0.5000
Ge: 0.4664 0.6631 0.2433
Ge: 0.5336 0.3369 0.7567
Cl: 0.1330 0.7353 0.3506
Cl: 0.1891 0.1886 0.3801
Cl: 0.2946 0.6659 0.9798
Cl: 0.3378 0.0378 0.7289
Cl: 0.6622 0.9622 0.2711
Cl: 0.7054 0.3341 0.0202
Cl: 0.8109 0.8114 0.6199
Cl: 0.8670 0.2647 0.6494

Output
E_form (uncorrected): -0.897 eV per atom
Energy: -40.171 eV/f.u.
SG: No. 2

---

Entry 9:
Compound: GaGe2WCl
Source: the Alexandria database
Functional: GGA-PBE
Structure: relaxed

abc: 4.9636 4.9636 4.8518
angles: 90.00 90.00 90.00
Fractional coordinates of all 5 atoms:
Ga: 0.0000 0.0000 0.0000
Ge: 0.0000 0.5000 0.5000
Ge: 0.5000 0.0000 0.5000
W: 0.5000 0.5000 0.5000
Cl: 0.5000 0.5000 0.0000

Output
E_form (uncorrected): 0.423 eV per atom
Energy: -24.945 eV/f.u.
SG: No. 123

---

Entry 10:
Compound: GaHCl2
Source: the Alexandria database
Functional: GGA-PBE
Structure: relaxed

abc: 5.9771 5.9771 5.9771
angles: 116.93 116.93 95.41
Fractional coordinates of all 8 atoms:
Ga: 0.0000 0.0000 0.0000
Ga: 0.7500 0.2500 0.5000
H: 0.2500 0.7500 0.5000
H: 0.5000 0.5000 0.0000
Cl: 0.2484 0.1250 0.6234
Cl: 0.3750 0.7516 0.8766
Cl: 0.5016 0.6250 0.3766
Cl: 0.8750 0.4984 0.1234

Output
Energy: -10.707 eV/f.u.
SG: No. 122

---

Entry 11:
Compound: Ga2HCl
Source: the Alexandria database
Functional: GGA-PBE
Structure: relaxed

abc: 6.9530 6.9530 6.9530
angles: 133.57 133.57 67.76
Fractional coordinates of all 8 atoms:
Ga: 0.3750 0.2480 0.3730
Ga: 0.7520 0.1250 0.1270
Ga: 0.8750 0.0020 0.6270
Ga: 0.9980 0.6250 0.8730
H: 0.0000 0.0000 0.0000
H: 0.7500 0.2500 0.5000
Cl: 0.2500 0.7500 0.5000
Cl: 0.5000 0.5000 0.0000

Output
Energy: -11.259 eV/f.u.
SG: No. 122

---

Entry 12:
Compound: Ga2H2Cl7
Source: the Alexandria database
Functional: GGA-PBE
Structure: relaxed

abc: 6.8062 6.8062 7.5204
angles: 98.70 98.70 102.06
Fractional coordinates of all 11 atoms:
Ga: 0.2339 0.2339 0.3063
Ga: 0.7661 0.7661 0.6937
H: 0.4309 0.5691 0.0000
H: 0.5691 0.4309 0.0000
Cl: 0.0769 0.7255 0.7313
Cl: 0.2745 0.9231 0.2687
Cl: 0.3281 0.3281 0.9619
Cl: 0.5000 0.5000 0.5000
Cl: 0.6719 0.6719 0.0381
Cl: 0.7255 0.0769 0.7313
Cl: 0.9231 0.2745 0.2687

Output
Energy: -31.962 eV/f.u.
SG: No. 12

---

Entry 13:
Compound: GaH2Cl
Source: the Alexandria database
Functional: GGA-PBE
Structure: relaxed

abc: 4.1160 4.1160 4.1160
angles: 60.00 60.00 60.00
Fractional coordinates of all 4 atoms:
Ga: 0.0000 0.0000 0.0000
H: 0.2500 0.2500 0.2500
H: 0.7500 0.7500 0.7500
Cl: 0.5000 0.5000 0.5000

Output
Energy: -8.507 eV/f.u.
SG: No. 225

---

Entry 14:
Compound: GaH2Cl2
Source: the Alexandria database
Functional: GGA-PBE
Structure: relaxed

abc: 6.2016 6.2016 3.4808
angles: 105.66 105.66 66.49
Fractional coordinates of all 5 atoms:
Ga: 0.0000 0.0000 0.0000
H: 0.4695 0.4545 0.9592
H: 0.5455 0.5305 0.0408
Cl: 0.0819 0.2568 0.6636
Cl: 0.7432 0.9181 0.3365

Output
Energy: -15.273 eV/f.u.
SG: No. 5

---

Entry 15:
Compound: GaHCl2
Source: the Alexandria database
Functional: GGA-PBE
Structure: relaxed

abc: 3.6314 5.6703 5.8747
angles: 73.09 89.85 71.46
Fractional coordinates of all 4 atoms:
Ga: 0.0000 0.0000 0.0000
H: 0.1388 0.7206 0.9826
Cl: 0.4765 0.0456 0.2428
Cl: 0.8247 0.3557 0.7065

Output
Energy: -12.918 eV/f.u.
SG: No. 1

---

Entry 16:
Compound: GaH2Cl
Source: the Alexandria database
Functional: GGA-PBE
Structure: relaxed

abc: 5.7357 4.8111 12.6710
angles: 90.00 116.87 90.00
Fractional coordinates of all 16 atoms:
Ga: 0.1337 0.9998 0.3836
Ga: 0.1337 0.5002 0.8836
Ga: 0.8663 0.0002 0.6164
Ga: 0.8663 0.4998 0.1164
H: 0.0164 0.2217 0.4338
H: 0.0164 0.2783 0.9338
H: 0.3515 0.7220 0.9337
H: 0.3515 0.7780 0.4337
H: 0.6485 0.2220 0.5663
H: 0.6485 0.2780 0.0663
H: 0.9836 0.7217 0.0662
H: 0.9836 0.7783 0.5662
Cl: 0.2399 0.2497 0.2497
Cl: 0.2399 0.2503 0.7497
Cl: 0.7601 0.7497 0.2503
Cl: 0.7601 0.7503 0.7503

Output
Energy: -12.843 eV/f.u.
SG: No. 14

---

Entry 17:
Compound: GaHCl2
Source: the Alexandria database
Functional: GGA-PBE
Structure: relaxed

abc: 6.6392 6.6392 6.6392
angles: 41.27 41.27 41.27
Fractional coordinates of all 4 atoms:
Ga: 0.0000 0.0000 0.0000
H: 0.5000 0.5000 0.5000
Cl: 0.4143 0.4143 0.4143
Cl: 0.5857 0.5857 0.5857

Output
Energy: -12.377 eV/f.u.
SG: No. 166

---

Entry 18:
Compound: Ga2H2Cl3
Source: the Alexandria database
Functional: GGA-PBE
Structure: relaxed

abc: 4.3524 5.9649 7.5272
angles: 96.48 90.02 111.03
Fractional coordinates of all 7 atoms:
Ga: 0.0367 0.0757 0.1924
Ga: 0.9633 0.9243 0.8076
H: 0.0912 0.1861 0.9306
H: 0.9088 0.8139 0.0694
Cl: 0.0000 0.0000 0.5000
Cl: 0.3694 0.7339 0.8030
Cl: 0.6306 0.2661 0.1970

Output
Energy: -21.340 eV/f.u.
SG: No. 2

---

Entry 19:
Compound: GaH2Cl5
Source: the Alexandria database
Functional: GGA-PBE
Structure: relaxed

abc: 5.5102 7.3062 7.3735
angles: 72.62 68.94 68.02
Fractional coordinates of all 8 atoms:
Ga: 0.0000 0.0000 0.0000
H: 0.6324 0.8020 0.9663
H: 0.8401 0.4385 0.6175
Cl: 0.1835 0.2010 0.7540
Cl: 0.3136 0.7586 0.1311
Cl: 0.6333 0.1216 0.2128
Cl: 0.6598 0.5818 0.5390
Cl: 0.8858 0.8171 0.8365

Output
Energy: -25.384 eV/f.u.
SG: No. 1

---

Entry 20:
Compound: GaHCl2
Source: the Alexandria database
Functional: GGA-PBE
Structure: relaxed

abc: 6.9177 6.9177 10.5553
angles: 90.76 90.76 124.02
Fractional coordinates of all 16 atoms:
Ga: 0.0561 0.3251 0.0757
Ga: 0.3251 0.0561 0.5757
Ga: 0.6749 0.9439 0.4243
Ga: 0.9439 0.6749 0.9243
H: 0.2988 0.4167 0.1318
H: 0.4167 0.2988 0.6318
H: 0.5833 0.7012 0.3682
H: 0.7012 0.5833 0.8682
Cl: 0.0261 0.2556 0.4141
Cl: 0.0697 0.4328 0.8642
Cl: 0.2556 0.0261 0.9141
Cl: 0.4328 0.0697 0.3642
Cl: 0.5672 0.9303 0.6358
Cl: 0.7444 0.9739 0.0859
Cl: 0.9303 0.5672 0.1358
Cl: 0.9739 0.7444 0.5859

Output
Energy: -13.038 eV/f.u.
SG: No. 15

---

Entry 21:
Compound: Ga2HCl2
Source: the Alexandria database
Functional: GGA-PBE
Structure: relaxed

abc: 3.7905 7.4877 10.5941
angles: 69.40 89.83 89.95
Fractional coordinates of all 10 atoms:
Ga: 0.2473 0.0803 0.1860
Ga: 0.2502 0.3916 0.9623
Ga: 0.7498 0.6084 0.0377
Ga: 0.7527 0.9197 0.8140
H: 0.0440 0.4531 0.5187
H: 0.9560 0.5469 0.4813
Cl: 0.2492 0.7684 0.1402
Cl: 0.2539 0.0183 0.6561
Cl: 0.7461 0.9817 0.3439
Cl: 0.7508 0.2316 0.8598

Output
Energy: -15.775 eV/f.u.
SG: No. 2

---

Entry 22:
Compound: GaHCl2
Source: the Alexandria database
Functional: GGA-PBE
Structure: relaxed

abc: 4.6283 4.6283 4.6283
angles: 60.00 60.00 60.00
Fractional coordinates of all 4 atoms:
Ga: 0.0000 0.0000 0.0000
H: 0.5000 0.5000 0.5000
Cl: 0.2500 0.2500 0.2500
Cl: 0.7500 0.7500 0.7500

Output
Energy: -9.387 eV/f.u.
SG: No. 225

---

Entry 23:
Compound: Ga3HCl
Source: the Alexandria database
Functional: GGA-PBE
Structure: relaxed

abc: 4.5809 4.5809 4.5809
angles: 90.00 90.00 90.00
Fractional coordinates of all 5 atoms:
Ga: 0.0000 0.0000 0.5000
Ga: 0.0000 0.5000 0.0000
Ga: 0.5000 0.0000 0.0000
H: 0.0000 0.0000 0.0000
Cl: 0.5000 0.5000 0.5000

Output
Energy: -13.581 eV/f.u.
SG: No. 221

---

Entry 24:
Compound: Ga2HCl
Source: the Alexandria database
Functional: GGA-PBE
Structure: relaxed

abc: 4.8400 4.8400 4.8400
angles: 60.00 60.00 60.00
Fractional coordinates of all 4 atoms:
Ga: 0.2500 0.2500 0.2500
Ga: 0.7500 0.7500 0.7500
H: 0.0000 0.0000 0.0000
Cl: 0.5000 0.5000 0.5000

Output
Energy: -10.703 eV/f.u.
SG: No. 225

---

Entry 25:
Compound: GaHCl2
Source: the Alexandria database
Functional: GGA-PBE
Structure: relaxed

abc: 7.6289 7.6289 7.6289
angles: 24.61 24.61 24.61
Fractional coordinates of all 4 atoms:
Ga: 0.0000 0.0000 0.0000
H: 0.5000 0.5000 0.5000
Cl: 0.1101 0.1101 0.1101
Cl: 0.8899 0.8899 0.8899

Output
Energy: -9.071 eV/f.u.
SG: No. 166

---

| no. | total moment (μB/f.u.) | V (A^3/atom) |
| --- | --- | --- |
| 1 | 0.0 | 24.85 |
| 2 | 0.0 | 23.06 |
| 3 | 0.0 | 24.40 |
| 4 | 0.0 | 26.29 |
| 5 | 0.0 | 40.29 |
| 6 | 0.0 | 32.57 |
| 7 | 0.0 | 34.33 |
| 8 | 0.0 | 32.11 |
| 9 | 0.0 | 23.91 |
| 10 | 0.0 | 19.66 |
| 11 | 0.0 | 21.68 |
| 12 | 1.0 | 30.06 |
| 13 | 0.0 | 12.33 |
| 14 | 1.0 | 23.24 |
| 15 | 0.0 | 27.30 |
| 16 | 0.0 | 19.50 |
| 17 | 0.0 | 28.75 |
| 18 | 0.0 | 25.87 |
| 19 | 0.1 | 31.53 |
| 20 | 0.0 | 26.16 |
| 21 | 0.0 | 28.15 |
| 22 | 0.3 | 17.53 |
| 23 | 0.0 | 19.23 |
| 24 | 0.0 | 20.04 |
| 25 | 0.0 | 16.93 |